<P>
Below is NbVNi4 after structural relaxation, with properties calculated at the GGA-PBE level.

a = 7.070 Å, b = 2.583 Å, c = 16.488 Å
α = 90.00°, β = 90.00°, γ = 90.00°
Fractional coordinates of all 24 atoms:
Nb: 0.246 0.250 0.188
Nb: 0.254 0.750 0.688
Nb: 0.746 0.250 0.312
Nb: 0.754 0.750 0.812
V: 0.248 0.250 0.942
V: 0.252 0.750 0.442
V: 0.748 0.250 0.558
V: 0.752 0.750 0.058
Ni: 0.058 0.750 0.562
Ni: 0.077 0.750 0.311
Ni: 0.097 0.750 0.058
Ni: 0.104 0.750 0.828
Ni: 0.396 0.250 0.328
Ni: 0.403 0.250 0.558
Ni: 0.423 0.250 0.811
Ni: 0.442 0.250 0.062
Ni: 0.558 0.750 0.938
Ni: 0.577 0.750 0.189
Ni: 0.597 0.750 0.442
Ni: 0.604 0.750 0.672
Ni: 0.896 0.250 0.172
Ni: 0.903 0.250 0.942
Ni: 0.923 0.250 0.689
Ni: 0.942 0.250 0.438

Calculated values
The magnetization comes out at 0.00 μB/cell. Its space-group type is Pnma (62).


<Q>
Below is NbVNi4 after structural relaxation, with properties calculated at the GGA-PBE level.

a = 8.216 Å, b = 3.626 Å, c = 5.251 Å
α = 90.00°, β = 108.94°, γ = 90.00°
Fractional coordinates of all 12 atoms:
Nb: 0.000 0.000 0.000
Nb: 0.500 0.500 0.000
V: 0.000 0.000 0.500
V: 0.500 0.500 0.500
Ni: 0.167 0.500 0.824
Ni: 0.173 0.500 0.344
Ni: 0.327 0.000 0.656
Ni: 0.333 0.000 0.176
Ni: 0.667 0.000 0.824
Ni: 0.673 0.000 0.344
Ni: 0.827 0.500 0.656
Ni: 0.833 0.500 0.176

Calculated values
The magnetization comes out at 0.00 μB/cell. Its space-group type is C2/m (12).


Which structure is most stable? <Q>, by 12.9 kJ/mol of atoms over the runner-up.